1:
The following is a DFT calculation (GGA-PBE) of a geometry-optimized CaMgPd3 structure.

Values from the calculation:
- SG = Pm-3m, No. 221

Lattice parameters (Å, degrees): 4.911 4.911 4.911 90.00 90.00 90.00
Sites, in units of the cell vectors:
Ca  0.000  0.000  0.000
Pd  0.000  0.000  0.500
Pd  0.500  0.000  0.000
Pd  0.000  0.500  0.000
Mg  0.500  0.500  0.500

---

2:
The following is a DFT calculation (GGA-PBE) of a geometry-optimized CaMgPd3 structure.

Values from the calculation:
- SG = Pm-3m, No. 221

Lattice parameters (Å, degrees): 4.727 4.727 4.727 90.00 90.00 90.00
Sites, in units of the cell vectors:
Pd  0.000  0.000  0.500
Ca  0.500  0.500  0.500
Pd  0.000  0.500  0.000
Pd  0.500  0.000  0.000
Mg  0.000  0.000  0.000

---

Which structure loses on stability? 1 does.